The following is a DFT calculation (GGA-PBEsol) of Cd2In after structural relaxation.

Cell: 4.447 4.447 13.820 Å, 99.26 99.26 90.00°
Sites, in units of the cell vectors:
1 Cd 0.668 0.168 0.336
2 Cd 0.750 0.750 0.501
3 Cd 0.832 0.332 0.664
4 Cd 0.250 0.250 0.499
5 Cd 0.500 0.000 0.999
6 Cd 0.000 0.500 0.001
7 Cd 0.418 0.418 0.836
8 Cd 0.582 0.582 0.164
9 In 0.332 0.832 0.664
10 In 0.168 0.668 0.336
11 In 0.918 0.918 0.836
12 In 0.082 0.082 0.164

## Properties
N(E_F), states/eV per cell: 4.31
Space-group type: I4_1/amd (141)
Total energy, eV per cell: -21.180